{
  "formula": "Rb2PuCl8",
  "functional": "PBE",
  "state": "optimized geometry",
  "lattice": [[6.536, -4.675, 0.000], [6.536, 4.675, 0.000], [-3.959, 0.000, 6.976]],
  "species": ["Rb", "Rb", "Pu", "Cl", "Cl", "Cl", "Cl", "Cl", "Cl", "Cl", "Cl"],
  "frac_coords": [[0.234, 0.234, 0.345], [0.766, 0.766, 0.655], [0.500, 0.500, 0.000], [0.080, 0.080, 0.624], [0.224, 0.612, 0.732], [0.300, 0.300, 0.998], [0.388, 0.776, 0.268], [0.612, 0.224, 0.732], [0.700, 0.700, 0.002], [0.776, 0.388, 0.268], [0.920, 0.920, 0.376]],
  "sg": "No. 12",
  "n_ef_per_ev_fu": 3.50,
  "magmom_total_mub_per_cell": 4.000,
  "dft_energy_ev_per_atom": -4.34
}